(1)
The following is a PBE calculation of a geometry-optimized HgAsPtBr2 structure, from Alexandria via LeMat-Bulk.

## Properties
Energy relative to the lowest polymorph listed for this composition, kJ/mol of atoms: 0.00
Formation energy from raw total energies, eV/atom: 0.168
Space-group type: P4/mmm (123)

Cell: 5.4083 5.4083 4.7507 Å, 90.00 90.00 90.00°
Fractional coordinates of all 5 atoms:
As  0.0000  0.0000  0.5000
Br  0.0000  0.5000  0.0000
Br  0.5000  0.0000  0.0000
Hg  0.5000  0.5000  0.5000
Pt  0.0000  0.0000  0.0000

(2)
The following is a PBE calculation of a geometry-optimized CrCoP2 structure, from Alexandria via LeMat-Bulk.

## Properties
Energy relative to the lowest polymorph listed for this composition, kJ/mol of atoms: 0.00
Space-group type: P4mm (99)

Cell: 3.0838 3.0838 4.8567 Å, 90.00 90.00 90.00°
Last column: magnetic moment on the atom in μB.
Fractional coordinates of all 4 atoms:
Co  0.0000  0.0000  0.4370  0.14
Cr  0.5000  0.5000  0.7985  0.56
P  0.0000  0.0000  0.9688  -0.03
P  0.5000  0.5000  0.2957  -0.02

(3)
The following is a PBE calculation of a geometry-optimized Sm6Y8Sc structure, from Alexandria via LeMat-Bulk.

## Properties
Energy relative to the lowest polymorph listed for this composition, kJ/mol of atoms: 0.00
Space-group type: P-3 (147)

Cell: 5.8022 9.9328 9.9328 Å, 120.00 90.00 90.00°
Fractional coordinates of all 15 atoms:
Sm  0.7399  0.6225  0.0920
Sm  0.7399  0.9080  0.5305
Sm  0.7399  0.4695  0.3775
Sm  0.2601  0.3775  0.9080
Sm  0.2601  0.0920  0.4695
Sm  0.2601  0.5305  0.6225
Y  0.7684  0.0510  0.2687
Y  0.7684  0.7313  0.7823
Y  0.7684  0.2177  0.9490
Y  0.2316  0.9490  0.7313
Y  0.2316  0.2687  0.2177
Y  0.2316  0.7823  0.0510
Y  0.7681  0.3333  0.6667
Y  0.2319  0.6667  0.3333
Sc  0.5000  0.0000  0.0000

(4)
The following is a PBE calculation of a geometry-optimized CaAgSe2 structure, from Alexandria via LeMat-Bulk.

## Properties
Formation energy from raw total energies, eV/atom: -0.778
Space-group type: C2/m (12)

Cell: 7.5456 4.8662 3.7492 Å, 89.84 60.45 125.82°
Fractional coordinates of all 4 atoms:
Ca  0.5000  0.5000  0.0000
Se  0.0000  0.0000  0.0000
Se  0.5000  0.0000  0.5000
Ag  0.0000  0.5000  0.5000

(5)
The following is a PBE calculation of a geometry-optimized RbGaSnSe3 structure, from Alexandria via LeMat-Bulk.

## Properties
Formation energy from raw total energies, eV/atom: -0.710
Space-group type: P2_1/m (11)

Cell: 4.2317 9.8649 10.4203 Å, 103.20 90.00 90.00°
Fractional coordinates of all 12 atoms:
Rb  0.2500  0.1684  0.1912
Rb  0.7500  0.8316  0.8088
Ga  0.2500  0.0836  0.6178
Ga  0.7500  0.9164  0.3822
Sn  0.2500  0.6259  0.1444
Sn  0.7500  0.3741  0.8556
Se  0.7500  0.8700  0.1533
Se  0.2500  0.1300  0.8467
Se  0.2500  0.8362  0.4868
Se  0.7500  0.1638  0.5132
Se  0.7500  0.4158  0.1217
Se  0.2500  0.5842  0.8783

(6)
The following is a PBE calculation of a geometry-optimized Ce3SbRh3 structure, from Alexandria via LeMat-Bulk.

## Properties
Formation energy from raw total energies, eV/atom: -0.574
Space-group type: P6_3/m (176)

Cell: 5.3141 8.6528 8.6528 Å, 120.00 90.00 90.00°
Last column: magnetic moment on the atom in μB.
Fractional coordinates of all 14 atoms:
Ce  0.7500  0.6785  0.6024  0.35
Ce  0.7500  0.3976  0.0760  0.35
Ce  0.7500  0.9240  0.3215  0.35
Ce  0.2500  0.3215  0.3976  0.35
Ce  0.2500  0.6024  0.9240  0.35
Ce  0.2500  0.0760  0.6785  0.35
Sb  0.2500  0.6667  0.3333  -0.01
Sb  0.7500  0.3333  0.6667  -0.01
Rh  0.2500  0.7200  0.6698  -0.03
Rh  0.2500  0.3302  0.0502  -0.03
Rh  0.2500  0.9498  0.2800  -0.03
Rh  0.7500  0.2800  0.3302  -0.03
Rh  0.7500  0.6698  0.9498  -0.03
Rh  0.7500  0.0502  0.7200  -0.03

(7)
The following is a PBE calculation of a geometry-optimized Sm2Pu3UP6 structure, from Alexandria via LeMat-Bulk.

## Properties
Raw total energy, eV per cell: -111.07
Space-group type: C2/m (12)

Cell: 4.0217 8.0173 8.9746 Å, 102.76 102.95 90.00°
Last column: magnetic moment on the atom in μB.
Fractional coordinates of all 12 atoms:
Sm  0.8337  0.6660  0.6675  0.00
Sm  0.1663  0.3340  0.3325  0.00
Pu  0.5000  0.5000  0.0000  -5.00
Pu  0.8314  0.1670  0.6629  4.95
Pu  0.1686  0.8330  0.3371  4.95
U  0.5000  0.0000  0.0000  -1.65
P  0.3362  0.9264  0.6723  -0.06
P  0.6650  0.5907  0.3300  -0.04
P  0.6638  0.0736  0.3277  -0.06
P  0.9977  0.2429  0.9954  0.06
P  0.0023  0.7571  0.0046  0.06
P  0.3350  0.4093  0.6700  -0.04

(8)
The following is a PBE calculation of a geometry-optimized MoSeBr2 structure, from Alexandria via LeMat-Bulk.

## Properties
Energy relative to the lowest polymorph listed for this composition, kJ/mol of atoms: 26.50
Formation energy from raw total energies, eV/atom: -0.056
Space-group type: P4mm (99)

Cell: 3.1055 3.1055 9.9182 Å, 90.00 90.00 90.00°
Fractional coordinates of all 4 atoms:
Br  0.0000  0.0000  0.0020
Br  0.5000  0.5000  0.3356
Mo  0.0000  0.0000  0.5049
Se  0.5000  0.5000  0.6575

(9)
The following is a PBE calculation of a geometry-optimized ZnCd4Pt5 structure, from Alexandria via LeMat-Bulk.

## Properties
Raw total energy, eV per cell: -38.87
Space-group type: P4/mmm (123)

Cell: 2.9911 2.9911 18.9412 Å, 90.00 90.00 90.00°
Fractional coordinates of all 10 atoms:
Zn  0.0000  0.0000  0.0000
Cd  0.0000  0.0000  0.1906
Cd  0.0000  0.0000  0.3971
Cd  0.0000  0.0000  0.6029
Cd  0.0000  0.0000  0.8094
Pt  0.5000  0.5000  0.0853
Pt  0.5000  0.5000  0.2939
Pt  0.5000  0.5000  0.5000
Pt  0.5000  0.5000  0.7061
Pt  0.5000  0.5000  0.9147

(10)
The following is a PBE calculation of a geometry-optimized Li5ZnBi3 structure, from Alexandria via LeMat-Bulk.

## Properties
Raw total energy, eV per cell: -48.91
Space-group type: C2/m (12)

Cell: 8.6991 8.6991 9.4678 Å, 57.37 57.37 71.76°
Fractional coordinates of all 18 atoms:
Li  0.9414  0.3952  0.3557
Li  0.2709  0.7291  0.0000
Li  0.8325  0.8325  0.9169
Li  0.4940  0.4940  0.2632
Li  0.5060  0.5060  0.7368
Li  0.1675  0.1675  0.0831
Li  0.3952  0.9414  0.3557
Li  0.7291  0.2709  0.0000
Li  0.0586  0.6048  0.6443
Li  0.6048  0.0586  0.6443
Zn  0.1744  0.1744  0.5810
Zn  0.8256  0.8256  0.4190
Bi  0.6618  0.6618  0.8325
Bi  0.6675  0.6675  0.3313
Bi  0.0000  0.0000  0.0000
Bi  0.0000  0.0000  0.5000
Bi  0.3382  0.3382  0.1675
Bi  0.3325  0.3325  0.6687

(11)
The following is a PBE calculation of a geometry-optimized Dy4ScCu5 structure, from Alexandria via LeMat-Bulk.

## Properties
Raw total energy, eV per cell: -47.75
Space-group type: P4/mmm (123)

Cell: 3.4103 3.4103 17.2780 Å, 90.00 90.00 90.00°
Fractional coordinates of all 10 atoms:
Dy  0.0000  0.0000  0.1932
Dy  0.0000  0.0000  0.3978
Dy  0.0000  0.0000  0.6022
Dy  0.0000  0.0000  0.8068
Sc  0.0000  0.0000  0.0000
Cu  0.5000  0.5000  0.0860
Cu  0.5000  0.5000  0.2955
Cu  0.5000  0.5000  0.5000
Cu  0.5000  0.5000  0.7045
Cu  0.5000  0.5000  0.9140

(12)
The following is a PBE calculation of a geometry-optimized Nd4Dy5Ho2 structure, from Alexandria via LeMat-Bulk.

## Properties
Energy relative to the lowest polymorph listed for this composition, kJ/mol of atoms: 16.29
Space-group type: Immm (71)

Cell: 3.5051 9.2647 12.5315 Å, 111.69 98.04 90.00°
Fractional coordinates of all 11 atoms:
Nd  0.0000  0.2950  0.0000
Nd  0.5964  0.5964  0.1928
Nd  0.0000  0.7050  0.0000
Nd  0.4036  0.4036  0.8072
Dy  0.8514  0.0517  0.7027
Dy  0.8514  0.6511  0.7027
Dy  0.1486  0.3489  0.2973
Dy  0.1486  0.9483  0.2973
Dy  0.5000  0.0000  0.0000
Ho  0.2698  0.2698  0.5396
Ho  0.7302  0.7302  0.4604

> Which formula does entry 5 have?

RbGaSnSe3